P) ! PBE-GGA Tb3Pr3Y2, optimized geometry; values from VASP
! crystal system = orthorhombic
! size of the total moment = 0.00 μB/cell
! space-group type = Pmmn, No. 59
&SYSTEM
  ibrav = 0, nat = 16, ntyp = 3
/
ATOMIC_SPECIES
Tb 158.93 Tb.upf
Pr 140.91 Pr.upf
Y 88.91 Y.upf
ATOMIC_POSITIONS crystal
Tb 0.2500 0.0014 0.1659
Tb 0.2500 0.2500 0.1742
Tb 0.2500 0.4986 0.1659
Tb 0.7500 0.5014 0.8341
Tb 0.7500 0.7500 0.8258
Tb 0.7500 0.9986 0.8341
Pr 0.2500 0.1242 0.6707
Pr 0.2500 0.3758 0.6707
Pr 0.2500 0.7500 0.1601
Pr 0.7500 0.2500 0.8399
Pr 0.7500 0.6242 0.3293
Pr 0.7500 0.8758 0.3293
Y 0.2500 0.6238 0.6648
Y 0.2500 0.8762 0.6648
Y 0.7500 0.1238 0.3352
Y 0.7500 0.3762 0.3352
CELL_PARAMETERS angstrom
5.8077 0.0000 0.0000
0.0000 14.7351 0.0000
0.0000 0.0000 6.3570



Q) ! PBE-GGA Tb3Pr3Y2, optimized geometry; values from VASP
! crystal system = orthorhombic
! size of the total moment = 0.00 μB/cell
! space-group type = Immm, No. 71
&SYSTEM
  ibrav = 0, nat = 8, ntyp = 3
/
ATOMIC_SPECIES
Tb 158.93 Tb.upf
Pr 140.91 Pr.upf
Y 88.91 Y.upf
ATOMIC_POSITIONS crystal
Tb 0.0000 0.0000 0.0000
Tb 0.3738 0.8738 0.5000
Tb 0.6262 0.1262 0.5000
Pr 0.1250 0.6250 0.5000
Pr 0.5000 0.5000 0.0000
Pr 0.8750 0.3750 0.5000
Y 0.2506 0.2506 0.0000
Y 0.7494 0.7494 0.0000
CELL_PARAMETERS angstrom
-2.5575 2.5639 10.2481
2.5575 -2.5639 10.2481
2.5575 2.5639 -10.2481



Question: which arrangement is favored energetically? Ranking from most to least stable: Q), P).



P) ! PBE-GGA Tb2Pr5Y4, optimized geometry; values from VASP
! crystal system = orthorhombic
! size of the total moment = 0.00 μB/cell
! space-group type = Immm, No. 71
&SYSTEM
  ibrav = 0, nat = 11, ntyp = 3
/
ATOMIC_SPECIES
Tb 158.93 Tb.upf
Pr 140.91 Pr.upf
Y 88.91 Y.upf
ATOMIC_POSITIONS crystal
Tb 0.2310 0.2310 0.0000
Tb 0.7690 0.7690 0.0000
Pr 0.1521 0.3528 0.7993
Pr 0.4465 0.6472 0.7993
Pr 0.5000 0.0000 0.5000
Pr 0.5535 0.3528 0.2007
Pr 0.8479 0.6472 0.2007
Y 0.0975 0.0975 0.0000
Y 0.1871 0.5000 0.6871
Y 0.8129 0.5000 0.3129
Y 0.9025 0.9025 0.0000
CELL_PARAMETERS angstrom
-1.7833 4.6283 11.8853
1.7833 -4.6283 11.8853
1.7833 4.6283 -11.8853



Q) ! PBE-GGA Tb2Pr5Y4, optimized geometry; values from VASP
! crystal system = monoclinic
! size of the total moment = 0.00 μB/cell
! space-group type = C2/m, No. 12
&SYSTEM
  ibrav = 0, nat = 11, ntyp = 3
/
ATOMIC_SPECIES
Tb 158.93 Tb.upf
Pr 140.91 Pr.upf
Y 88.91 Y.upf
ATOMIC_POSITIONS crystal
Tb 0.2164 0.2164 0.3553
Tb 0.7836 0.7836 0.6447
Pr 0.0000 0.0000 0.0000
Pr 0.3231 0.3231 0.9277
Pr 0.4033 0.4033 0.4638
Pr 0.5967 0.5967 0.5362
Pr 0.6769 0.6769 0.0723
Y 0.1409 0.1409 0.7957
Y 0.4644 0.4644 0.7385
Y 0.5356 0.5356 0.2615
Y 0.8591 0.8591 0.2043
CELL_PARAMETERS angstrom
8.9594 -1.7895 0.0000
8.9594 1.7895 0.0000
-0.8024 0.0000 11.7210



Question: which arrangement is favored energetically? Ranking from most to least stable: Q), P).



P) ! PBE-GGA Tb7PrY12, optimized geometry; values from VASP
! crystal system = trigonal
! size of the total moment = 0.00 μB/cell
! space-group type = R-3, No. 148
&SYSTEM
  ibrav = 0, nat = 20, ntyp = 3
/
ATOMIC_SPECIES
Tb 158.93 Tb.upf
Pr 140.91 Pr.upf
Y 88.91 Y.upf
ATOMIC_POSITIONS crystal
Tb 0.0000 0.0000 0.0000
Tb 0.1471 0.4825 0.4177
Tb 0.4177 0.1471 0.4825
Tb 0.4825 0.4177 0.1471
Tb 0.5175 0.5823 0.8529
Tb 0.5823 0.8529 0.5175
Tb 0.8529 0.5175 0.5823
Pr 0.5000 0.5000 0.5000
Y 0.0229 0.3531 0.0859
Y 0.0859 0.0229 0.3531
Y 0.1821 0.3122 0.7502
Y 0.2498 0.8179 0.6878
Y 0.3122 0.7502 0.1821
Y 0.3531 0.0859 0.0229
Y 0.6469 0.9141 0.9771
Y 0.6878 0.2498 0.8179
Y 0.7502 0.1821 0.3122
Y 0.8179 0.6878 0.2498
Y 0.9141 0.9771 0.6469
Y 0.9771 0.6469 0.9141
CELL_PARAMETERS angstrom
6.4570 3.7279 4.5544
-6.4570 3.7279 4.5544
0.0000 -7.4559 4.5544



Q) ! PBE-GGA Tb7PrY12, optimized geometry; values from VASP
! crystal system = cubic
! size of the total moment = 0.00 μB/cell
! space-group type = Im-3m, No. 229
&SYSTEM
  ibrav = 0, nat = 20, ntyp = 3
/
ATOMIC_SPECIES
Tb 158.93 Tb.upf
Pr 140.91 Pr.upf
Y 88.91 Y.upf
ATOMIC_POSITIONS crystal
Tb 0.0000 0.0000 0.5000
Tb 0.0000 0.5000 0.0000
Tb 0.0000 0.5000 0.5000
Tb 0.5000 0.0000 0.0000
Tb 0.5000 0.0000 0.5000
Tb 0.5000 0.5000 0.0000
Tb 0.5000 0.5000 0.5000
Pr 0.0000 0.0000 0.0000
Y 0.0000 0.2532 0.7468
Y 0.0000 0.7468 0.2532
Y 0.2532 0.0000 0.7468
Y 0.2532 0.2532 0.5064
Y 0.2532 0.5064 0.2532
Y 0.2532 0.7468 0.0000
Y 0.4936 0.7468 0.7468
Y 0.5064 0.2532 0.2532
Y 0.7468 0.0000 0.2532
Y 0.7468 0.2532 0.0000
Y 0.7468 0.4936 0.7468
Y 0.7468 0.7468 0.4936
CELL_PARAMETERS angstrom
-5.6536 5.6536 5.6536
5.6536 -5.6536 5.6536
5.6536 5.6536 -5.6536



Question: which arrangement is favored energetically? Ranking from most to least stable: P), Q).



P) ! PBE-GGA Tb5PrY5, optimized geometry; values from VASP
! crystal system = hexagonal
! size of the total moment = 0.00 μB/cell
! space-group type = P-6m2, No. 187
&SYSTEM
  ibrav = 0, nat = 11, ntyp = 3
/
ATOMIC_SPECIES
Tb 158.93 Tb.upf
Pr 140.91 Pr.upf
Y 88.91 Y.upf
ATOMIC_POSITIONS crystal
Tb 0.0000 0.0000 0.0000
Tb 0.3333 0.6667 0.3229
Tb 0.3333 0.6667 0.6771
Tb 0.6667 0.3333 0.1561
Tb 0.6667 0.3333 0.8439
Pr 0.3333 0.6667 0.0000
Y 0.0000 0.0000 0.2621
Y 0.0000 0.0000 0.7379
Y 0.3343 0.1672 0.5000
Y 0.8328 0.1672 0.5000
Y 0.8328 0.6657 0.5000
CELL_PARAMETERS angstrom
6.1035 0.0000 0.0000
-3.0518 5.2858 0.0000
0.0000 0.0000 11.7231



Q) ! PBE-GGA Tb5PrY5, optimized geometry; values from VASP
! crystal system = hexagonal
! size of the total moment = 0.00 μB/cell
! space-group type = P-6m2, No. 187
&SYSTEM
  ibrav = 0, nat = 11, ntyp = 3
/
ATOMIC_SPECIES
Tb 158.93 Tb.upf
Pr 140.91 Pr.upf
Y 88.91 Y.upf
ATOMIC_POSITIONS crystal
Tb 0.0000 0.0000 0.2344
Tb 0.0000 0.0000 0.7656
Tb 0.3371 0.1686 0.0000
Tb 0.8314 0.1686 0.0000
Tb 0.8314 0.6629 0.0000
Pr 0.3333 0.6667 0.5000
Y 0.0000 0.0000 0.5000
Y 0.3333 0.6667 0.1725
Y 0.3333 0.6667 0.8275
Y 0.6667 0.3333 0.3381
Y 0.6667 0.3333 0.6619
CELL_PARAMETERS angstrom
6.1306 0.0000 0.0000
-3.0653 5.3092 0.0000
0.0000 0.0000 11.5074



Question: which arrangement is favored energetically? Ranking from most to least stable: Q), P).



P) ! PBE-GGA Tb2Pr2Y, optimized geometry; values from VASP
! crystal system = monoclinic
! size of the total moment = 0.00 μB/cell
! space-group type = C2/c, No. 15
&SYSTEM
  ibrav = 0, nat = 10, ntyp = 3
/
ATOMIC_SPECIES
Tb 158.93 Tb.upf
Pr 140.91 Pr.upf
Y 88.91 Y.upf
ATOMIC_POSITIONS crystal
Tb 0.0150 0.1794 0.4510
Tb 0.1794 0.0150 0.9510
Tb 0.8206 0.9850 0.0490
Tb 0.9850 0.8206 0.5490
Pr 0.2129 0.3873 0.8461
Pr 0.3873 0.2129 0.3461
Pr 0.6127 0.7871 0.6539
Pr 0.7871 0.6127 0.1539
Y 0.4155 0.5845 0.2500
Y 0.5845 0.4155 0.7500
CELL_PARAMETERS angstrom
8.0113 -3.1952 0.0000
8.0113 3.1952 0.0000
-1.6849 0.0000 6.6676



Q) ! PBE-GGA Tb2Pr2Y, optimized geometry; values from VASP
! crystal system = tetragonal
! size of the total moment = 0.00 μB/cell
! space-group type = I4/mmm, No. 139
&SYSTEM
  ibrav = 0, nat = 5, ntyp = 3
/
ATOMIC_SPECIES
Tb 158.93 Tb.upf
Pr 140.91 Pr.upf
Y 88.91 Y.upf
ATOMIC_POSITIONS crystal
Tb 0.1476 0.1476 0.0000
Tb 0.8524 0.8524 0.0000
Pr 0.2500 0.7500 0.5000
Pr 0.7500 0.2500 0.5000
Y 0.5000 0.5000 0.0000
CELL_PARAMETERS angstrom
-3.0031 3.0031 4.8688
3.0031 -3.0031 4.8688
3.0031 3.0031 -4.8688



Question: which arrangement is favored energetically? Ranking from most to least stable: P), Q).



P) ! PBE-GGA Tb6Pr2Y, optimized geometry; values from VASP
! crystal system = monoclinic
! size of the total moment = 0.00 μB/cell
! space-group type = C2/c, No. 15
&SYSTEM
  ibrav = 0, nat = 18, ntyp = 3
/
ATOMIC_SPECIES
Tb 158.93 Tb.upf
Pr 140.91 Pr.upf
Y 88.91 Y.upf
ATOMIC_POSITIONS crystal
Tb 0.0144 0.1650 0.4975
Tb 0.0956 0.5958 0.7172
Tb 0.1650 0.0144 0.9975
Tb 0.3348 0.4858 0.5023
Tb 0.4042 0.9044 0.7828
Tb 0.4858 0.3348 0.0023
Tb 0.5142 0.6652 0.9977
Tb 0.5958 0.0956 0.2172
Tb 0.6652 0.5142 0.4977
Tb 0.8350 0.9856 0.0025
Tb 0.9044 0.4042 0.2828
Tb 0.9856 0.8350 0.5025
Pr 0.1478 0.3523 0.9998
Pr 0.3523 0.1478 0.4998
Pr 0.6477 0.8522 0.5002
Pr 0.8522 0.6477 0.0002
Y 0.2498 0.7502 0.2500
Y 0.7502 0.2498 0.7500
CELL_PARAMETERS angstrom
5.3877 -8.8586 0.0000
5.3877 8.8586 0.0000
-0.5006 0.0000 6.2120



Q) ! PBE-GGA Tb6Pr2Y, optimized geometry; values from VASP
! crystal system = orthorhombic
! size of the total moment = 0.00 μB/cell
! space-group type = Cmmm, No. 65
&SYSTEM
  ibrav = 0, nat = 9, ntyp = 3
/
ATOMIC_SPECIES
Tb 158.93 Tb.upf
Pr 140.91 Pr.upf
Y 88.91 Y.upf
ATOMIC_POSITIONS crystal
Tb 0.0000 0.3313 0.0000
Tb 0.0000 0.6687 0.0000
Tb 0.3313 0.0000 0.0000
Tb 0.3313 0.3313 0.0000
Tb 0.6687 0.0000 0.0000
Tb 0.6687 0.6687 0.0000
Pr 0.3333 0.6667 0.5000
Pr 0.6667 0.3333 0.5000
Y 0.0000 0.0000 0.5000
CELL_PARAMETERS angstrom
4.9172 -8.5295 0.0000
4.9172 8.5295 0.0000
0.0000 0.0000 3.5175



Question: which arrangement is favored energetically? Ranking from most to least stable: Q), P).



P) ! PBE-GGA Tb6Pr4Y, optimized geometry; values from VASP
! crystal system = tetragonal
! size of the total moment = 0.00 μB/cell
! space-group type = I-42m, No. 121
&SYSTEM
  ibrav = 0, nat = 11, ntyp = 3
/
ATOMIC_SPECIES
Tb 158.93 Tb.upf
Pr 140.91 Pr.upf
Y 88.91 Y.upf
ATOMIC_POSITIONS crystal
Tb 0.0000 0.5000 0.5000
Tb 0.2007 0.2007 0.6467
Tb 0.4460 0.7993 0.0000
Tb 0.5000 0.0000 0.5000
Tb 0.5540 0.5540 0.3533
Tb 0.7993 0.4460 0.0000
Pr 0.0136 0.6329 0.0000
Pr 0.3671 0.3671 0.3807
Pr 0.6329 0.0136 0.0000
Pr 0.9864 0.9864 0.6193
Y 0.0000 0.0000 0.0000
CELL_PARAMETERS angstrom
-3.3629 3.3629 8.5432
3.3629 -3.3629 8.5432
3.3629 3.3629 -8.5432



Q) ! PBE-GGA Tb6Pr4Y, optimized geometry; values from VASP
! crystal system = tetragonal
! size of the total moment = 0.00 μB/cell
! space-group type = I-42m, No. 121
&SYSTEM
  ibrav = 0, nat = 11, ntyp = 3
/
ATOMIC_SPECIES
Tb 158.93 Tb.upf
Pr 140.91 Pr.upf
Y 88.91 Y.upf
ATOMIC_POSITIONS crystal
Tb 0.0000 0.5000 0.5000
Tb 0.0549 0.5755 0.0000
Tb 0.4245 0.4245 0.4794
Tb 0.5000 0.0000 0.5000
Tb 0.5755 0.0549 0.0000
Tb 0.9451 0.9451 0.5206
Pr 0.2472 0.2472 0.6485
Pr 0.4013 0.7528 0.0000
Pr 0.5987 0.5987 0.3515
Pr 0.7528 0.4013 0.0000
Y 0.0000 0.0000 0.0000
CELL_PARAMETERS angstrom
-3.8690 3.8690 6.6257
3.8690 -3.8690 6.6257
3.8690 3.8690 -6.6257



Question: which arrangement is favored energetically? Ranking from most to least stable: P), Q).



P) ! PBE-GGA Tb2Pr3Y4, optimized geometry; values from VASP
! crystal system = monoclinic
! size of the total moment = 0.00 μB/cell
! space-group type = C2/c, No. 15
&SYSTEM
  ibrav = 0, nat = 18, ntyp = 3
/
ATOMIC_SPECIES
Tb 158.93 Tb.upf
Pr 140.91 Pr.upf
Y 88.91 Y.upf
ATOMIC_POSITIONS crystal
Tb 0.0173 0.7529 0.6865
Tb 0.2471 0.9827 0.8135
Tb 0.7529 0.0173 0.1865
Tb 0.9827 0.2471 0.3135
Pr 0.1076 0.8924 0.2500
Pr 0.2218 0.4440 0.4174
Pr 0.4440 0.2218 0.9174
Pr 0.5560 0.7782 0.0826
Pr 0.7782 0.5560 0.5826
Pr 0.8924 0.1076 0.7500
Y 0.0886 0.3452 0.8577
Y 0.3181 0.5794 0.9782
Y 0.3452 0.0886 0.3577
Y 0.4206 0.6819 0.5218
Y 0.5794 0.3181 0.4782
Y 0.6548 0.9114 0.6423
Y 0.6819 0.4206 0.0218
Y 0.9114 0.6548 0.1423
CELL_PARAMETERS angstrom
8.3928 -5.9083 0.0000
8.3928 5.9083 0.0000
-0.8241 0.0000 6.0582



Q) ! PBE-GGA Tb2Pr3Y4, optimized geometry; values from VASP
! crystal system = monoclinic
! size of the total moment = 0.00 μB/cell
! space-group type = C2/m, No. 12
&SYSTEM
  ibrav = 0, nat = 9, ntyp = 3
/
ATOMIC_SPECIES
Tb 158.93 Tb.upf
Pr 140.91 Pr.upf
Y 88.91 Y.upf
ATOMIC_POSITIONS crystal
Tb 0.0533 0.0533 0.2202
Tb 0.9467 0.9467 0.7798
Pr 0.3906 0.3906 0.5580
Pr 0.5000 0.5000 0.0000
Pr 0.6094 0.6094 0.4420
Y 0.1698 0.1698 0.6692
Y 0.2777 0.2777 0.1112
Y 0.7223 0.7223 0.8888
Y 0.8302 0.8302 0.3308
CELL_PARAMETERS angstrom
5.9902 -1.8098 0.0000
5.9902 1.8098 0.0000
-5.4245 0.0000 13.8740



Question: which arrangement is favored energetically? Ranking from most to least stable: Q), P).



P) ! PBE-GGA Tb3PrY, optimized geometry; values from VASP
! crystal system = monoclinic
! size of the total moment = 0.00 μB/cell
! space-group type = P2_1/m, No. 11
&SYSTEM
  ibrav = 0, nat = 10, ntyp = 3
/
ATOMIC_SPECIES
Tb 158.93 Tb.upf
Pr 140.91 Pr.upf
Y 88.91 Y.upf
ATOMIC_POSITIONS crystal
Tb 0.1329 0.2500 0.0990
Tb 0.2667 0.7500 0.7004
Tb 0.3349 0.2500 0.4989
Tb 0.6651 0.7500 0.5011
Tb 0.7333 0.2500 0.2996
Tb 0.8671 0.7500 0.9010
Pr 0.0668 0.7500 0.2996
Pr 0.9332 0.2500 0.7004
Y 0.4658 0.7500 0.0993
Y 0.5342 0.2500 0.9007
CELL_PARAMETERS angstrom
6.3195 0.0000 0.0000
0.0000 5.7531 0.0000
-3.1513 0.0000 9.1302



Q) ! PBE-GGA Tb3PrY, optimized geometry; values from VASP
! crystal system = monoclinic
! size of the total moment = 0.00 μB/cell
! space-group type = C2/c, No. 15
&SYSTEM
  ibrav = 0, nat = 20, ntyp = 3
/
ATOMIC_SPECIES
Tb 158.93 Tb.upf
Pr 140.91 Pr.upf
Y 88.91 Y.upf
ATOMIC_POSITIONS crystal
Tb 0.0835 0.7143 0.5490
Tb 0.1118 0.4854 0.8490
Tb 0.2231 0.3721 0.3530
Tb 0.2857 0.9165 0.9510
Tb 0.3721 0.2231 0.8530
Tb 0.4854 0.1118 0.3490
Tb 0.5146 0.8882 0.6510
Tb 0.6279 0.7769 0.1470
Tb 0.7143 0.0835 0.0490
Tb 0.7769 0.6279 0.6470
Tb 0.8882 0.5146 0.1510
Tb 0.9165 0.2857 0.4510
Pr 0.3138 0.6862 0.2500
Pr 0.4244 0.5756 0.7500
Pr 0.5756 0.4244 0.2500
Pr 0.6862 0.3138 0.7500
Y 0.0266 0.1746 0.9513
Y 0.1746 0.0266 0.4513
Y 0.8254 0.9734 0.5487
Y 0.9734 0.8254 0.0487
CELL_PARAMETERS angstrom
7.7208 -6.6464 0.0000
7.7208 6.6464 0.0000
-1.5744 0.0000 6.4411



Question: which arrangement is favored energetically? Ranking from most to least stable: P), Q).



P) ! PBE-GGA Tb2Pr3Y, optimized geometry; values from VASP
! crystal system = orthorhombic
! size of the total moment = 0.00 μB/cell
! space-group type = Imma, No. 74
&SYSTEM
  ibrav = 0, nat = 12, ntyp = 3
/
ATOMIC_SPECIES
Tb 158.93 Tb.upf
Pr 140.91 Pr.upf
Y 88.91 Y.upf
ATOMIC_POSITIONS crystal
Tb 0.2786 0.1836 0.0950
Tb 0.4114 0.8164 0.5950
Tb 0.5886 0.1836 0.4050
Tb 0.7214 0.8164 0.9050
Pr 0.0000 0.2890 0.2890
Pr 0.0000 0.7110 0.7110
Pr 0.5000 0.0000 0.0000
Pr 0.5000 0.2890 0.7890
Pr 0.5000 0.5000 0.5000
Pr 0.5000 0.7110 0.2110
Y 0.0533 0.3033 0.7500
Y 0.9467 0.6967 0.2500
CELL_PARAMETERS angstrom
-5.7724 5.8483 3.2352
5.7724 -5.8483 3.2352
5.7724 5.8483 -3.2352



Q) ! PBE-GGA Tb2Pr3Y, optimized geometry; values from VASP
! crystal system = monoclinic
! size of the total moment = 0.00 μB/cell
! space-group type = C2/m, No. 12
&SYSTEM
  ibrav = 0, nat = 12, ntyp = 3
/
ATOMIC_SPECIES
Tb 158.93 Tb.upf
Pr 140.91 Pr.upf
Y 88.91 Y.upf
ATOMIC_POSITIONS crystal
Tb 0.1323 0.1323 0.0008
Tb 0.3031 0.3031 0.6656
Tb 0.6969 0.6969 0.3344
Tb 0.8677 0.8677 0.9992
Pr 0.1272 0.1272 0.4905
Pr 0.2324 0.2324 0.8372
Pr 0.4328 0.4328 0.3323
Pr 0.5672 0.5672 0.6677
Pr 0.7676 0.7676 0.1628
Pr 0.8728 0.8728 0.5095
Y 0.0413 0.0413 0.1805
Y 0.9587 0.9587 0.8195
CELL_PARAMETERS angstrom
6.6899 -1.7885 0.0000
6.6899 1.7885 0.0000
-3.8572 0.0000 17.4794



Question: which arrangement is favored energetically? Ranking from most to least stable: Q), P).